First-principles (GGA+U) data for an optimized crystal structure of Co6Hg4F19, as listed in Alexandria.

total magnetization = 17.90 μB per cell
total energy = -118.7 eV/f.u.
density of states at the Fermi level = 3.9 states/eV per cell

a = 8.155 Å, b = 8.155 Å, c = 8.155 Å
α = 109.47°, β = 109.47°, γ = 109.47°
Sites, in units of the cell vectors:
Co 0.338 0.500 0.838
Co 0.662 0.500 0.162
Co 0.162 0.662 0.500
Co 0.838 0.338 0.500
Co 0.500 0.838 0.338
Co 0.500 0.162 0.662
Hg 0.000 0.000 0.705
Hg 0.000 0.705 0.000
Hg 0.295 0.295 0.295
Hg 0.705 0.000 0.000
F 0.650 0.000 0.650
F 0.350 0.000 0.350
F 0.350 0.350 0.000
F 0.650 0.650 0.000
F 0.000 0.650 0.650
F 0.000 0.350 0.350
F 0.000 0.000 0.000
F 0.368 0.328 0.615
F 0.632 0.248 0.960
F 0.713 0.752 0.385
F 0.960 0.632 0.248
F 0.287 0.672 0.040
F 0.615 0.368 0.328
F 0.040 0.287 0.672
F 0.385 0.713 0.752
F 0.672 0.040 0.287
F 0.248 0.960 0.632
F 0.328 0.615 0.368
F 0.752 0.385 0.713